[1]
VASP calculation (PBE-GGA) on crystalline ZnTe2Pd at its relaxed geometry.

```
ZnTe2Pd
1.0
2.4132 0.0000 7.8759
-1.2066 2.0899 7.8759
-1.2066 -2.0899 7.8759
Zn Te Pd
1 2 1
Direct
0.0000 0.0000 0.0000 Zn
0.8909 0.8909 0.8909 Te
0.1091 0.1091 0.1091 Te
0.5000 0.5000 0.5000 Pd
```

Calculated values
* energy relative to the elements, uncorrected: -104 meV per atom
* SG: R-3m (166)
* crystal system: trigonal

[2]
VASP calculation (PBE-GGA) on crystalline Y2ErScTe6 at its relaxed geometry.

```
Y2ErScTe6
1.0
7.5852 -0.0001 -0.0003
3.7925 6.5692 0.0000
3.7918 2.1901 6.9160
Y Er Sc Te
2 1 1 6
Direct
0.5108 0.5109 0.4674 Y
0.0095 0.0095 0.9715 Y
0.8252 0.8251 0.5245 Er
0.3265 0.3266 0.0204 Sc
0.5865 0.2270 0.2512 Te
0.2270 0.9354 0.2513 Te
0.9353 0.5865 0.2512 Te
0.4241 0.7184 0.7592 Te
0.7183 0.0983 0.7592 Te
0.0983 0.4241 0.7592 Te
```

Calculated values
* energy relative to the elements, uncorrected: -1320 meV per atom
* SG: R3 (146)
* crystal system: trigonal

[3]
VASP calculation (PBE-GGA) on crystalline Rb2Na7 at its relaxed geometry.

```
Rb2Na7
1.0
7.3830 0.0000 0.0000
3.6915 6.3938 0.0000
3.6915 2.1313 18.3972
Rb Na
4 14
Direct
0.0539 0.0539 0.8384 Rb
0.9461 0.9461 0.1616 Rb
0.1500 0.1500 0.5500 Rb
0.8500 0.8500 0.4500 Rb
0.5000 0.5000 0.5000 Na
0.2785 0.2785 0.1645 Na
0.7215 0.7215 0.8355 Na
0.3881 0.3881 0.8356 Na
0.6119 0.6119 0.1644 Na
0.5000 0.0000 0.0000 Na
0.0000 0.5000 0.0000 Na
0.5000 0.5000 0.0000 Na
0.6093 0.6093 0.6720 Na
0.6093 0.1095 0.6720 Na
0.1095 0.6093 0.6720 Na
0.3907 0.3907 0.3280 Na
0.3907 0.8905 0.3280 Na
0.8905 0.3907 0.3280 Na
```

Calculated values
* SG: R-3m (166)
* energy of formation from the pure elements: 18 meV per atom
* crystal system: trigonal

[4]
VASP calculation (PBE-GGA) on crystalline Tb6Ho12In at its relaxed geometry.

```
Tb6Ho12In
1.0
8.4141 0.3983 -1.4140
-1.7340 8.2431 -1.4140
0.3079 0.3983 8.5265
Tb Ho In
6 12 1
Direct
0.1344 0.1348 0.4075 Tb
0.8652 0.5925 0.8656 Tb
0.5925 0.8656 0.8652 Tb
0.8656 0.8652 0.5925 Tb
0.1348 0.4075 0.1344 Tb
0.4075 0.1344 0.1348 Tb
0.5838 0.1701 0.5837 Ho
0.1701 0.5837 0.5838 Ho
0.5837 0.5838 0.1701 Ho
0.4162 0.8299 0.4163 Ho
0.8299 0.4163 0.4162 Ho
0.4163 0.4162 0.8299 Ho
0.2599 0.0003 0.7401 Ho
0.2599 0.7401 0.9997 Ho
0.9997 0.2599 0.7401 Ho
0.7401 0.9997 0.2599 Ho
0.7401 0.2599 0.0003 Ho
0.0003 0.7401 0.2599 Ho
0.0000 0.0000 0.0000 In
```

Calculated values
* SG: R-3m (166)
* energy of formation from the pure elements: 94 meV per atom
* crystal system: trigonal
* polymorph energy (0 for the lowest one): 0.021 eV/atom

[5]
VASP calculation (PBE-GGA) on crystalline Pa2VIn at its relaxed geometry.

```
Pa2VIn
1.0
4.6751 0.0000 0.0000
0.0000 4.3510 0.0000
0.0000 0.0000 4.3510
V Pa In
1 2 1
Direct
0.5000 0.0000 0.0000 V
0.0000 0.0000 0.5000 Pa
0.0000 0.5000 0.0000 Pa
0.5000 0.5000 0.5000 In
```

Calculated values
* SG: P4/mmm (123)
* energy of formation from the pure elements: 130 meV per atom
* crystal system: tetragonal
* polymorph energy (0 for the lowest one): 0.035 eV/atom

[6]
VASP calculation (PBE-GGA) on crystalline Ac5Ag4Au at its relaxed geometry.

```
Ac5Ag4Au
1.0
3.9383 0.0000 0.0000
0.0000 3.9383 0.0000
0.0000 0.0000 19.9076
Ac Ag Au
5 4 1
Direct
0.5000 0.5000 0.0963 Ac
0.5000 0.5000 0.2987 Ac
0.5000 0.5000 0.5000 Ac
0.5000 0.5000 0.7013 Ac
0.5000 0.5000 0.9037 Ac
0.0000 0.0000 0.2000 Ag
0.0000 0.0000 0.3995 Ag
0.0000 0.0000 0.6005 Ag
0.0000 0.0000 0.8000 Ag
0.0000 0.0000 0.0000 Au
```

Calculated values
* SG: P4/mmm (123)
* energy of formation from the pure elements: -367 meV per atom
* crystal system: tetragonal

[7]
VASP calculation (PBE-GGA) on crystalline Ni5Pt4Au at its relaxed geometry.

```
Ni5Pt4Au
1.0
-1.8134 1.8091 0.9385
-1.0240 0.2773 -2.5132
-11.8528 -13.6076 3.3283
Ni Pt Au
5 4 1
Direct
0.5000 0.5000 0.1058 Ni
0.5000 0.5000 0.3020 Ni
0.5000 0.5000 0.5000 Ni
0.5000 0.5000 0.6980 Ni
0.5000 0.5000 0.8942 Ni
0.0000 0.0000 0.2032 Pt
0.0000 0.0000 0.4010 Pt
0.0000 0.0000 0.5990 Pt
0.0000 0.0000 0.7968 Pt
0.0000 0.0000 0.0000 Au
```

Calculated values
* SG: P4/mmm (123)
* energy of formation from the pure elements: -62 meV per atom
* crystal system: tetragonal

[8]
VASP calculation (PBE-GGA) on crystalline Ce7Tc2Ru2 at its relaxed geometry.

```
Ce7Tc2Ru2
1.0
6.4206 0.4694 -0.9652
0.4375 6.8545 -0.4052
-1.3638 -0.4740 6.3475
Ce Tc Ru
7 2 2
Direct
0.9854 0.3011 0.5243 Ce
0.5243 0.6989 0.9854 Ce
0.0146 0.6989 0.4757 Ce
0.4757 0.3011 0.0146 Ce
0.0000 0.0000 0.0000 Ce
0.5306 0.7401 0.4694 Ce
0.4694 0.2599 0.5306 Ce
0.8269 0.5000 0.8269 Tc
0.1731 0.5000 0.1731 Tc
0.6989 0.0397 0.3011 Ru
0.3011 0.9603 0.6989 Ru
```

Calculated values
* SG: C2/m (12)
* energy of formation from the pure elements: -15 meV per atom
* crystal system: monoclinic

How do the records compare in DFT total energy? In the order shown, they have -13.17; -55.87; -11.00; -83.67; -30.33; -38.89; -56.97; -80.98 eV per formula unit.